# Ac2LaNdSm5

An optimized crystal structure of Ac2LaNdSm5 (PBE, Alexandria via LeMat-Bulk).

calculated density: 7.45 g/cm³
space group: Cmc2_1 (36)
energy: -40.77 eV per formula unit
calculated formation energy: 81.8 meV per atom
volume: 36.862 Å³ per atom

Geometry as CIF:
```
data_Ac2LaNdSm5
_chemical_formula_sum 'Ac4 La2 Nd2 Sm10'
_cell_length_a 5.921
_cell_length_b 9.436
_cell_length_c 12.507
_cell_angle_alpha 90.00
_cell_angle_beta 90.00
_cell_angle_gamma 108.29
_symmetry_space_group_name_H-M 'P 1'
_symmetry_Int_Tables_number 1
loop_
_symmetry_equiv_pos_as_xyz
'x,y,z'
loop_
_atom_site_label
_atom_site_type_symbol
_atom_site_fract_x
_atom_site_fract_y
_atom_site_fract_z
Ac1 Ac 0.111 0.222 0.424
Sm1 Sm 0.727 0.454 0.125
La1 La 0.252 0.504 0.928
Nd1 Nd 0.388 0.777 0.429
Sm2 Sm 0.913 0.826 0.597
Sm3 Sm 0.729 0.457 0.726
Ac2 Ac 0.083 0.165 0.754
Sm4 Sm 0.271 0.543 0.226
Sm5 Sm 0.443 0.887 0.066
Ac3 Ac 0.889 0.778 0.924
Sm6 Sm 0.273 0.546 0.625
La2 La 0.748 0.496 0.428
Ac4 Ac 0.917 0.835 0.254
Sm7 Sm 0.557 0.113 0.566
Sm8 Sm 0.439 0.878 0.775
Sm9 Sm 0.561 0.122 0.275
Nd2 Nd 0.612 0.223 0.929
Sm10 Sm 0.087 0.174 0.097
```